PrSm7Tm3: optimized geometry, GGA-PBE.

Cell lengths 8.632, 7.160, 7.160 Å; angles 120.00, 90.00, 90.00 degrees
Sites, in units of the cell vectors:
1 Pr 0.442 0.333 0.667
2 Sm 0.110 0.168 0.832
3 Sm 0.110 0.168 0.335
4 Sm 0.123 0.667 0.333
5 Sm 0.456 0.832 0.168
6 Sm 0.456 0.335 0.168
7 Sm 0.456 0.832 0.665
8 Sm 0.110 0.665 0.832
9 Tm 0.784 0.500 0.500
10 Tm 0.784 0.500 0.001
11 Tm 0.784 0.999 0.500

Calculated values
As for the energy of formation: 0.19 eV per atom. The value obtained for the calculated density is 7367 kg/m³. The raw total energy comes out at -49.1 eV per cell. The value obtained for the energy relative to the lowest polymorph listed for this composition is 0.060 eV per atom.

***

PrSm2Tm: optimized geometry, GGA-PBE.

Cell lengths 4.244, 4.244, 7.464 Å; angles 90.00, 90.00, 90.00 degrees
Sites, in units of the cell vectors:
1 Pr 0.500 0.500 0.500
2 Tm 0.500 0.500 0.000
3 Sm 0.000 0.000 0.761
4 Sm 0.000 0.000 0.239

Calculated values
As for the energy of formation: 0.12 eV per atom. The value obtained for the calculated density is 7543 kg/m³. The raw total energy comes out at -18.2 eV per cell. The value obtained for the energy relative to the lowest polymorph listed for this composition is 0.101 eV per atom.

***

Pr6Sm2Tm3: optimized geometry, GGA-PBE.

Cell lengths 4.779, 4.779, 17.540 Å; angles 97.83, 97.83, 90.00 degrees
Sites, in units of the cell vectors:
1 Pr 0.121 0.621 0.242
2 Pr 0.621 0.121 0.242
3 Pr 0.879 0.379 0.758
4 Pr 0.379 0.879 0.758
5 Pr 0.707 0.707 0.415
6 Pr 0.293 0.293 0.585
7 Sm 0.455 0.455 0.911
8 Sm 0.545 0.545 0.089
9 Tm 0.000 0.000 0.000
10 Tm 0.807 0.807 0.614
11 Tm 0.193 0.193 0.386

Calculated values
As for the energy of formation: 0.30 eV per atom. The value obtained for the calculated density is 6984 kg/m³. The raw total energy comes out at -48.3 eV per cell. The value obtained for the energy relative to the lowest polymorph listed for this composition is 0.212 eV per atom.

***

Pr2Sm12Tm5: optimized geometry, GGA-PBE.

Cell lengths 11.654, 8.709, 9.377 Å; angles 70.86, 90.00, 132.00 degrees
Sites, in units of the cell vectors:
1 Pr 0.724 0.000 0.000
2 Pr 0.276 0.000 0.000
3 Sm 0.117 0.235 0.060
4 Sm 0.049 0.608 0.802
5 Sm 0.559 0.608 0.802
6 Sm 0.172 0.784 0.417
7 Sm 0.612 0.784 0.417
8 Sm 0.422 0.843 0.781
9 Sm 0.578 0.157 0.219
10 Sm 0.828 0.216 0.583
11 Sm 0.388 0.216 0.583
12 Sm 0.951 0.392 0.198
13 Sm 0.441 0.392 0.198
14 Sm 0.883 0.765 0.940
15 Tm 0.197 0.394 0.660
16 Tm 0.309 0.618 0.236
17 Tm 0.000 0.000 0.500
18 Tm 0.691 0.382 0.764
19 Tm 0.803 0.606 0.340

Calculated values
As for the energy of formation: 0.12 eV per atom. The value obtained for the calculated density is 7667 kg/m³. The raw total energy comes out at -86.3 eV per cell. The value obtained for the energy relative to the lowest polymorph listed for this composition is 0.000 eV per atom.

***

Pr2Sm2Tm7: optimized geometry, GGA-PBE.

Cell lengths 6.063, 8.062, 8.062 Å; angles 91.62, 73.50, 73.50 degrees
Sites, in units of the cell vectors:
1 Pr 0.811 0.400 0.400
2 Pr 0.189 0.600 0.600
3 Sm 0.500 0.209 0.791
4 Sm 0.500 0.791 0.209
5 Tm 0.178 0.065 0.589
6 Tm 0.822 0.411 0.935
7 Tm 0.822 0.935 0.411
8 Tm 0.178 0.589 0.065
9 Tm 0.000 0.000 0.000
10 Tm 0.575 0.768 0.768
11 Tm 0.425 0.232 0.232

Calculated values
As for the energy of formation: 0.15 eV per atom. The value obtained for the calculated density is 8149 kg/m³. The raw total energy comes out at -48.6 eV per cell.

***

Pr6SmTm6: optimized geometry, GGA-PBE.

Cell lengths 6.648, 6.648, 11.191 Å; angles 90.00, 90.00, 115.29 degrees
Sites, in units of the cell vectors:
1 Pr 0.000 0.000 0.674
2 Pr 0.000 0.000 0.326
3 Pr 0.359 0.641 0.000
4 Pr 0.641 0.359 0.000
5 Pr 0.267 0.733 0.500
6 Pr 0.733 0.267 0.500
7 Sm 0.000 0.000 0.000
8 Tm 0.000 0.500 0.774
9 Tm 0.500 0.000 0.774
10 Tm 0.500 0.500 0.701
11 Tm 0.500 0.000 0.226
12 Tm 0.000 0.500 0.226
13 Tm 0.500 0.500 0.299

Calculated values
As for the energy of formation: 0.21 eV per atom. The value obtained for the calculated density is 7461 kg/m³. The raw total energy comes out at -57.5 eV per cell.

***

PrSm2Tm6: optimized geometry, GGA-PBE.

Cell lengths 6.054, 7.404, 7.404 Å; angles 60.01, 90.01, 90.01 degrees
Sites, in units of the cell vectors:
1 Pr 0.000 0.000 0.000
2 Sm 0.790 0.667 0.667
3 Sm 0.210 0.333 0.333
4 Tm 0.301 0.374 0.813
5 Tm 0.301 0.813 0.813
6 Tm 0.301 0.813 0.374
7 Tm 0.699 0.626 0.187
8 Tm 0.699 0.187 0.187
9 Tm 0.699 0.187 0.626

Calculated values
As for the energy of formation: 0.24 eV per atom. The value obtained for the calculated density is 8408 kg/m³. The raw total energy comes out at -38.9 eV per cell. The value obtained for the energy relative to the lowest polymorph listed for this composition is 0.163 eV per atom.

***

Pr12SmTm7: optimized geometry, GGA-PBE.

Cell lengths 6.258, 11.556, 11.556 Å; angles 116.82, 100.40, 100.40 degrees
Sites, in units of the cell vectors:
1 Pr 0.088 0.588 0.176
2 Pr 0.088 0.176 0.588
3 Pr 0.580 0.648 0.000
4 Pr 0.420 0.000 0.353
5 Pr 0.500 0.412 0.588
6 Pr 0.068 0.647 0.648
7 Pr 0.932 0.353 0.352
8 Pr 0.500 0.588 0.412
9 Pr 0.580 0.000 0.647
10 Pr 0.420 0.352 0.000
11 Pr 0.912 0.824 0.412
12 Pr 0.912 0.412 0.824
13 Sm 0.000 0.000 0.000
14 Tm 0.124 0.756 0.000
15 Tm 0.876 0.000 0.244
16 Tm 0.632 0.756 0.756
17 Tm 0.500 0.000 0.000
18 Tm 0.368 0.244 0.244
19 Tm 0.124 0.000 0.756
20 Tm 0.876 0.244 0.000

Calculated values
As for the energy of formation: 0.24 eV per atom. The value obtained for the calculated density is 7171 kg/m³. The raw total energy comes out at -88.6 eV per cell. The value obtained for the energy relative to the lowest polymorph listed for this composition is 0.092 eV per atom.